No. 1
First-principles (PBE) data for a relaxed structure of CdInSe, as listed in Alexandria.

Total magnetization ... 0.000 μB/f.u.
Formation energy without anion corrections ... -0.104 eV per atom
Uncorrected energy ... -14.9 eV/cell
DOS at the Fermi energy ... 0.47 states/eV per atom

CIF file:
```
data_CdInSe
_cell_length_a 3.640
_cell_length_b 3.640
_cell_length_c 11.169
_cell_angle_alpha 90.00
_cell_angle_beta 90.00
_cell_angle_gamma 90.00
_symmetry_space_group_name_H-M 'I 4 m m'
_symmetry_Int_Tables_number 107
_symmetry_space_group_name_Hall 'I 4 -2'
loop_
_atom_site_label
_atom_site_fract_x
_atom_site_fract_y
_atom_site_fract_z
Cd1 0.000 0.000 0.000
In1 0.000 0.000 0.302
Se1 0.000 0.000 0.651
```

---

No. 2
First-principles (PBE) data for a relaxed structure of TiNiBSb2, as listed in Alexandria.

Total magnetization ... 0.000 μB/f.u.
Formation energy without anion corrections ... 0.458 eV per atom
Uncorrected energy ... -26.3 eV/cell
DOS at the Fermi energy ... 0.71 states/eV per atom

CIF file:
```
data_TiNiBSb2
_cell_length_a 5.099
_cell_length_b 5.099
_cell_length_c 3.662
_cell_angle_alpha 90.00
_cell_angle_beta 90.00
_cell_angle_gamma 90.00
_symmetry_space_group_name_H-M 'P 4/m m m'
_symmetry_Int_Tables_number 123
_symmetry_space_group_name_Hall '-P 4 2'
loop_
_atom_site_label
_atom_site_fract_x
_atom_site_fract_y
_atom_site_fract_z
Ti1 0.000 0.000 0.000
Ni1 0.500 0.500 0.500
B1 0.500 0.500 0.000
Sb1 0.000 0.500 0.500
```

---

No. 3
First-principles (PBE) data for a relaxed structure of PtBr3, as listed in Alexandria.

Total magnetization ... 0.001 μB/f.u.
Formation energy without anion corrections ... 0.877 eV per atom
Uncorrected energy ... -7.6 eV/cell
DOS at the Fermi energy ... 1.40 states/eV per atom

CIF file:
```
data_PtBr3
_cell_length_a 5.268
_cell_length_b 5.268
_cell_length_c 3.196
_cell_angle_alpha 90.00
_cell_angle_beta 90.00
_cell_angle_gamma 90.00
_symmetry_space_group_name_H-M 'P 4/m m m'
_symmetry_Int_Tables_number 123
_symmetry_space_group_name_Hall '-P 4 2'
loop_
_atom_site_label
_atom_site_fract_x
_atom_site_fract_y
_atom_site_fract_z
Pt1 0.000 0.000 0.000
Br1 0.000 0.500 0.500
Br2 0.500 0.500 0.000
```

---

No. 4
First-principles (PBE) data for a relaxed structure of KGaGe, as listed in Alexandria.

Total magnetization ... 0.000 μB/f.u.
Uncorrected energy ... -18.4 eV/cell
Energy of formation from the pure elements ... -0.1608 eV/atom
DOS at the Fermi energy ... 0.20 states/eV per atom

CIF file:
```
data_KGaGe
_cell_length_a 5.499
_cell_length_b 4.299
_cell_length_c 7.450
_cell_angle_alpha 90.00
_cell_angle_beta 90.00
_cell_angle_gamma 90.00
_symmetry_space_group_name_H-M 'P 1 21/m 1'
_symmetry_Int_Tables_number 11
loop_
_symmetry_equiv_pos_as_xyz
'x,y,z'
'-x,-y,-z'
'-x,y+1/2,-z'
'x,-y+1/2,z'
loop_
_atom_site_label
_atom_site_fract_x
_atom_site_fract_y
_atom_site_fract_z
K1 0.000 0.250 0.244
Ga1 0.499 0.750 0.422
Ge1 0.499 0.250 0.910
```